# 1
Here is a relaxed structure of Ca2CrOs from Alexandria. Energies are from PBE-GGA.

Calculated density (g/cm³): 4.1
Energy of formation (eV/atom): 0.713

Cell and atoms, written as CIF:
```
data_Ca2CrOs
_chemical_formula_sum 'Ca8 Cr4 Os4'
_symmetry_space_group_name_H-M 'I -4 2 d'
_symmetry_Int_Tables_number 122
_symmetry_space_group_name_Hall 'I -4 2bw'
_cell_length_a 10.548
_cell_length_b 10.548
_cell_length_c 4.642
_cell_angle_alpha 90.00
_cell_angle_beta 90.00
_cell_angle_gamma 90.00
loop_
_atom_site_label
_atom_site_fract_x
_atom_site_fract_y
_atom_site_fract_z
_atom_site_occupancy
Ca1 0.083 0.750 0.125 1
Cr1 0.000 0.000 0.500 1
Os1 0.000 0.000 0.000 1
```



# 2
Here is a relaxed structure of CaCr2Os from Alexandria. Energies are from PBE-GGA.

Calculated density (g/cm³): 8.1
Energy of formation (eV/atom): 0.884

Cell and atoms, written as CIF:
```
data_CaCr2Os
_chemical_formula_sum 'Ca1 Cr2 Os1'
_symmetry_space_group_name_H-M 'P 4/m m m'
_symmetry_Int_Tables_number 123
_symmetry_space_group_name_Hall '-P 4 2'
_cell_length_a 4.211
_cell_length_b 4.211
_cell_length_c 3.883
_cell_angle_alpha 90.00
_cell_angle_beta 90.00
_cell_angle_gamma 90.00
loop_
_atom_site_label
_atom_site_fract_x
_atom_site_fract_y
_atom_site_fract_z
_atom_site_occupancy
Ca1 0.000 0.000 0.000 1
Cr1 0.000 0.500 0.500 1
Os1 0.500 0.500 0.000 1
```



# 3
Here is a relaxed structure of CaCrOs from Alexandria. Energies are from PBE-GGA.

Calculated density (g/cm³): 7.3
Energy of formation (eV/atom): 0.492

Cell and atoms, written as CIF:
```
data_CaCrOs
_chemical_formula_sum 'Ca1 Cr1 Os1'
_symmetry_space_group_name_H-M 'P 3 m 1'
_symmetry_Int_Tables_number 156
_cell_length_a 3.9477
_cell_length_b 3.9477
_cell_length_c 4.7553
_cell_angle_alpha 90.00
_cell_angle_beta 90.00
_cell_angle_gamma 120.00
loop_
_symmetry_equiv_pos_as_xyz
'x,y,z'
'-y,x-y,z'
'-x+y,-x,z'
'-y,-x,z'
'-x+y,y,z'
'x,x-y,z'
loop_
_atom_site_label
_atom_site_fract_x
_atom_site_fract_y
_atom_site_fract_z
_atom_site_occupancy
Ca1 0.0000 0.0000 0.0000 1
Cr1 0.6667 0.3333 0.4814 1
Os1 0.3333 0.6667 0.5232 1
```



> What is the energy of formation in the first record?

0.713 eV/atom



> Among the records above, which one has the highest calculated density?

CaCr2Os



> Which value of energy of formation does entry 3 give?

0.492 eV/atom